# BaMn2Si2O7, relaxed, DFT PBE+U
# Magnetization ... 10.00 μB/f.u.
# Symmetry ... C2/c
# Energy ... -7.732 eV per atom
data_BaMn2Si2O7
_chemical_formula_sum 'Ba4 Mn8 Si8 O28'
_cell_length_a 7.556
_cell_length_b 7.556
_cell_length_c 14.198
_cell_angle_alpha 89.89
_cell_angle_beta 89.89
_cell_angle_gamma 121.05
_symmetry_space_group_name_H-M 'P 1'
_symmetry_Int_Tables_number 1
loop_
_symmetry_equiv_pos_as_xyz
'x,y,z'
loop_
_atom_site_label
_atom_site_fract_x
_atom_site_fract_y
_atom_site_fract_z
Ba1 0.282 0.313 0.122
Ba2 0.687 0.718 0.378
Ba3 0.718 0.687 0.878
Ba4 0.313 0.282 0.622
Mn1 0.731 0.269 0.250
Mn2 0.269 0.731 0.750
Mn3 0.270 0.730 0.250
Mn4 0.730 0.270 0.750
Mn5 0.232 0.701 0.509
Mn6 0.299 0.768 0.991
Mn7 0.768 0.299 0.491
Mn8 0.701 0.232 0.009
Si1 0.905 0.661 0.135
Si2 0.339 0.095 0.365
Si3 0.095 0.339 0.865
Si4 0.661 0.905 0.635
Si5 0.074 0.278 0.380
Si6 0.722 0.926 0.120
Si7 0.926 0.722 0.620
Si8 0.278 0.074 0.880
O1 0.134 0.693 0.115
O2 0.307 0.866 0.385
O3 0.866 0.307 0.885
O4 0.693 0.134 0.615
O5 0.215 0.440 0.298
O6 0.560 0.785 0.202
O7 0.785 0.560 0.702
O8 0.440 0.215 0.798
O9 0.886 0.617 0.515
O10 0.383 0.114 0.985
O11 0.114 0.383 0.485
O12 0.617 0.886 0.015
O13 0.833 0.179 0.134
O14 0.821 0.167 0.366
O15 0.167 0.821 0.866
O16 0.179 0.833 0.634
O17 0.925 0.892 0.121
O18 0.108 0.075 0.379
O19 0.075 0.108 0.879
O20 0.892 0.925 0.621
O21 0.855 0.588 0.246
O22 0.412 0.145 0.254
O23 0.145 0.412 0.754
O24 0.588 0.855 0.746
O25 0.725 0.505 0.062
O26 0.495 0.275 0.438
O27 0.275 0.495 0.938
O28 0.505 0.725 0.562